DFT (GGA-PBE) results for an optimized crystal structure of Sc2Ti2Ir.

a b c (Å): 6.405 6.405 4.752
angles (deg): 90.00 90.00 90.00
Element x y z (fractional)
Ir 0.000 0.000 0.000
Ti 0.855 0.645 0.000
Ir 0.500 0.500 0.000
Sc 0.332 0.168 0.500
Ti 0.145 0.355 0.000
Sc 0.668 0.832 0.500
Ti 0.645 0.145 0.000
Ti 0.355 0.855 0.000
Sc 0.832 0.332 0.500
Sc 0.168 0.668 0.500

Output
M_tot: 0.006 μB/f.u.
Calculated total energy: -7.749 eV/atom
Energy of formation: -0.286 eV/atom

---

DFT (GGA-PBE) results for an optimized crystal structure of Bi2AuS.

a b c (Å): 3.844 3.844 8.341
angles (deg): 76.68 76.68 60.00
Element x y z (fractional)
Bi 0.253 0.253 0.241
Au 0.668 0.668 0.995
Bi 0.084 0.084 0.748
S 0.495 0.495 0.516

Output
E_form (uncorrected): -0.1 eV per formula unit
M_tot: 0.000 μB/f.u.
Calculated total energy: -3.806 eV/atom

---

DFT (GGA-PBE) results for an optimized crystal structure of Ti2TlTeW.

a b c (Å): 5.122 5.163 5.122
angles (deg): 90.00 90.00 90.00
Site moments in Bohr magnetons follow the coordinates.
Element x y z (fractional)
Ti 0.500 0.000 0.000  1.20
Ti 0.000 0.000 0.500  1.36
Tl 0.000 0.000 0.000  0.02
W 0.000 0.500 0.000  1.85
Te 0.500 0.500 0.500  -0.07

Output
E_form (uncorrected): 8.5 eV per formula unit
M_tot: 5.671 μB/f.u.
Calculated total energy: -5.157 eV/atom